Arrangement w

The following is a DFT calculation (PBE) of a relaxed NaScVW crystal.

The structure in POSCAR format:
```
NaScVW
1.0
2.416 -1.610 0.000
2.416 1.610 0.000
-0.178 0.000 10.216
Na Sc V W
1 1 1 1
direct
0.000 0.000 0.000
0.486 0.486 0.310
0.502 0.502 0.724
0.995 0.995 0.541
```

Results
N(E_F) ... 4.87 states/eV per cell

Arrangement x

The following is a DFT calculation (PBE) of a relaxed NaScVW crystal.

The structure in POSCAR format:
```
NaScVW
1.0
2.096 1.210 5.625
-2.096 1.210 5.625
0.000 -2.421 5.625
Na Sc V W
1 1 1 1
direct
0.000 0.000 0.000
0.217 0.217 0.217
0.453 0.453 0.453
0.788 0.788 0.788
```

Results
N(E_F) ... 2.90 states/eV per cell

Least stable of them? arrangement x.

Arrangement w

The following is a DFT calculation (PBE) of a relaxed NaScVW crystal.

The structure in POSCAR format:
```
NaScVW
1.0
3.189 0.000 0.000
0.000 3.189 0.000
0.000 0.000 8.572
Na Sc V W
1 1 1 1
direct
0.000 0.000 0.000
0.500 0.500 0.354
0.500 0.500 0.703
0.000 0.000 0.564
```

Results
N(E_F) ... 3.54 states/eV per cell

Arrangement x

The following is a DFT calculation (PBE) of a relaxed NaScVW crystal.

The structure in POSCAR format:
```
NaScVW
1.0
2.202 1.271 4.419
-2.202 1.271 4.419
0.000 -2.542 4.419
Na Sc V W
1 1 1 1
direct
0.000 0.000 0.000
0.241 0.241 0.241
0.769 0.769 0.769
0.477 0.477 0.477
```

Results
N(E_F) ... 3.00 states/eV per cell

Arrangement y

The following is a DFT calculation (PBE) of a relaxed NaScVW crystal.

The structure in POSCAR format:
```
NaScVW
1.0
2.667 0.000 0.000
-0.890 5.231 0.000
-0.592 -2.273 5.128
Na Sc V W
1 1 1 1
direct
0.000 0.000 0.000
0.506 0.503 0.007
0.487 0.996 0.500
0.997 0.495 0.504
```

Results
N(E_F) ... 4.84 states/eV per cell

Least stable of them? arrangement y.

Arrangement w

The following is a DFT calculation (PBE) of a relaxed NaSc2W crystal.

The structure in POSCAR format:
```
NaSc2W
1.0
1.544 0.891 11.131
-1.544 0.891 11.131
0.000 -1.783 11.131
Na Sc W
1 2 1
direct
0.000 0.000 0.000
0.099 0.099 0.099
0.901 0.901 0.901
0.500 0.500 0.500
```

Results
N(E_F) ... 4.47 states/eV per cell

Arrangement x

The following is a DFT calculation (PBE) of a relaxed NaSc2W crystal.

The structure in POSCAR format:
```
NaSc2W
1.0
-2.165 2.165 9.563
2.165 -2.165 9.563
2.165 2.165 -9.563
Na Sc W
2 4 2
direct
0.000 0.000 0.000
0.750 0.250 0.500
0.151 0.625 0.026
0.375 0.401 0.526
0.599 0.125 0.974
0.875 0.849 0.474
0.250 0.750 0.500
0.500 0.500 0.000
```

Results
N(E_F) ... 9.97 states/eV per cell

Arrangement y

The following is a DFT calculation (PBE) of a relaxed NaSc2W crystal.

The structure in POSCAR format:
```
NaSc2W
1.0
0.000 3.449 3.449
3.449 0.000 3.449
3.449 3.449 0.000
Na Sc W
1 2 1
direct
0.000 0.000 0.000
0.250 0.250 0.250
0.750 0.750 0.750
0.500 0.500 0.500
```

Results
N(E_F) ... 3.14 states/eV per cell

Least stable of them? arrangement x.

Arrangement w

The following is a DFT calculation (PBE) of a relaxed NaScW2 crystal.

The structure in POSCAR format:
```
NaScW2
1.0
0.000 3.316 3.316
3.316 0.000 3.316
3.316 3.316 0.000
Na Sc W
1 1 2
direct
0.000 0.000 0.000
0.500 0.500 0.500
0.250 0.250 0.250
0.750 0.750 0.750
```

Results
N(E_F) ... 6.36 states/eV per cell

Arrangement x

The following is a DFT calculation (PBE) of a relaxed NaScW2 crystal.

The structure in POSCAR format:
```
NaScW2
1.0
-1.927 1.927 10.290
1.927 -1.927 10.290
1.927 1.927 -10.290
Na Sc W
2 2 4
direct
0.000 0.000 0.000
0.750 0.250 0.500
0.250 0.750 0.500
0.500 0.500 0.000
0.139 0.125 0.514
0.375 0.861 0.986
0.611 0.625 0.486
0.875 0.389 0.014
```

Results
N(E_F) ... 2.00 states/eV per cell

Least stable of them? arrangement w.

Arrangement w

The following is a DFT calculation (PBE) of a relaxed NaScW3 crystal.

The structure in POSCAR format:
```
NaScW3
1.0
4.599 0.000 0.000
0.000 4.599 0.000
0.000 0.000 4.599
Na Sc W
1 1 3
direct
0.000 0.000 0.000
0.500 0.500 0.500
0.000 0.000 0.500
0.000 0.500 0.000
0.500 0.000 0.000
```

Results
N(E_F) ... 10.15 states/eV per cell

Arrangement x

The following is a DFT calculation (PBE) of a relaxed NaScW3 crystal.

The structure in POSCAR format:
```
NaScW3
1.0
4.734 0.000 0.000
0.000 4.734 0.000
0.000 0.000 4.734
Na Sc W
1 1 3
direct
0.000 0.000 0.000
0.500 0.500 0.500
0.000 0.500 0.500
0.500 0.000 0.500
0.500 0.500 0.000
```

Results
N(E_F) ... 6.58 states/eV per cell

Least stable of them? arrangement w.

Arrangement w

The following is a DFT calculation (PBE) of a relaxed Na3YSc crystal.

The structure in POSCAR format:
```
Na3YSc
1.0
5.642 0.000 0.000
0.000 5.642 0.000
0.000 0.000 5.642
Na Y Sc
3 1 1
direct
0.000 0.000 0.500
0.000 0.500 0.000
0.500 0.000 0.000
0.500 0.500 0.500
0.000 0.000 0.000
```

Results
N(E_F) ... 6.48 states/eV per cell

Arrangement x

The following is a DFT calculation (PBE) of a relaxed Na3YSc crystal.

The structure in POSCAR format:
```
Na3YSc
1.0
5.861 0.000 0.000
0.000 5.861 0.000
0.000 0.000 5.861
Na Y Sc
3 1 1
direct
0.000 0.000 0.500
0.000 0.500 0.000
0.500 0.000 0.000
0.000 0.000 0.000
0.500 0.500 0.500
```

Results
N(E_F) ... 6.51 states/eV per cell

Least stable of them? arrangement x.

Arrangement w

The following is a DFT calculation (PBE) of a relaxed NaY2Sc crystal.

The structure in POSCAR format:
```
NaY2Sc
1.0
1.720 0.993 12.385
-1.720 0.993 12.385
0.000 -1.986 12.385
Na Y Sc
1 2 1
direct
0.000 0.000 0.000
0.095 0.095 0.095
0.905 0.905 0.905
0.500 0.500 0.500
```

Results
N(E_F) ... 4.76 states/eV per cell

Arrangement x

The following is a DFT calculation (PBE) of a relaxed NaY2Sc crystal.

The structure in POSCAR format:
```
NaY2Sc
1.0
0.000 3.906 3.906
3.906 0.000 3.906
3.906 3.906 0.000
Na Y Sc
1 2 1
direct
0.000 0.000 0.000
0.250 0.250 0.250
0.750 0.750 0.750
0.500 0.500 0.500
```

Results
N(E_F) ... 5.14 states/eV per cell

Arrangement y

The following is a DFT calculation (PBE) of a relaxed NaY2Sc crystal.

The structure in POSCAR format:
```
NaY2Sc
1.0
3.491 0.000 0.000
0.000 3.491 0.000
0.000 0.000 10.227
Na Y Sc
1 2 1
direct
0.000 0.000 0.000
0.500 0.500 0.279
0.500 0.500 0.721
0.000 0.000 0.500
```

Results
N(E_F) ... 4.85 states/eV per cell

Least stable of them? arrangement x.

Arrangement w

The following is a DFT calculation (PBE) of a relaxed NaYSc3 crystal.

The structure in POSCAR format:
```
NaYSc3
1.0
5.239 0.000 0.000
0.000 5.239 0.000
0.000 0.000 5.239
Na Y Sc
1 1 3
direct
0.000 0.000 0.000
0.500 0.500 0.500
0.000 0.000 0.500
0.000 0.500 0.000
0.500 0.000 0.000
```

Results
N(E_F) ... 7.06 states/eV per cell

Arrangement x

The following is a DFT calculation (PBE) of a relaxed NaYSc3 crystal.

The structure in POSCAR format:
```
NaYSc3
1.0
5.472 0.000 0.000
0.000 5.472 0.000
0.000 0.000 5.472
Na Y Sc
1 1 3
direct
0.000 0.000 0.000
0.500 0.500 0.500
0.000 0.500 0.500
0.500 0.000 0.500
0.500 0.500 0.000
```

Results
N(E_F) ... 8.65 states/eV per cell

Least stable of them? arrangement x.

Arrangement w

The following is a DFT calculation (PBE) of a relaxed NaY2Sc2 crystal.

The structure in POSCAR format:
```
NaY2Sc2
1.0
9.432 0.000 0.000
0.000 9.432 0.000
0.000 0.000 3.459
Na Y Sc
2 4 4
direct
0.000 0.000 0.000
0.500 0.500 0.000
0.179 0.321 0.500
0.321 0.821 0.500
0.679 0.179 0.500
0.821 0.679 0.500
0.112 0.612 0.000
0.388 0.112 0.000
0.612 0.888 0.000
0.888 0.388 0.000
```

Results
N(E_F) ... 17.29 states/eV per cell

Arrangement x

The following is a DFT calculation (PBE) of a relaxed NaY2Sc2 crystal.

The structure in POSCAR format:
```
NaY2Sc2
1.0
9.359 0.000 0.000
0.000 9.359 0.000
0.000 0.000 3.520
Na Y Sc
2 4 4
direct
0.000 0.000 0.000
0.500 0.500 0.000
0.125 0.375 0.000
0.375 0.875 0.000
0.625 0.125 0.000
0.875 0.625 0.000
0.168 0.668 0.500
0.332 0.168 0.500
0.668 0.832 0.500
0.832 0.332 0.500
```

Results
N(E_F) ... 9.11 states/eV per cell

Least stable of them? arrangement x.

Arrangement w

The following is a DFT calculation (PBE) of a relaxed Na2Y2Sc crystal.

The structure in POSCAR format:
```
Na2Y2Sc
1.0
9.097 0.000 0.000
0.000 9.097 0.000
0.000 0.000 3.646
Na Y Sc
4 4 2
direct
0.108 0.392 0.000
0.392 0.892 0.000
0.608 0.108 0.000
0.892 0.608 0.000
0.196 0.696 0.500
0.304 0.196 0.500
0.696 0.804 0.500
0.804 0.304 0.500
0.000 0.000 0.000
0.500 0.500 0.000
```

Results
N(E_F) ... 11.46 states/eV per cell

Arrangement x

The following is a DFT calculation (PBE) of a relaxed Na2Y2Sc crystal.

The structure in POSCAR format:
```
Na2Y2Sc
1.0
-2.358 2.358 7.058
2.358 -2.358 7.058
2.358 2.358 -7.058
Na Y Sc
2 2 1
direct
0.088 0.088 0.000
0.912 0.912 0.000
0.250 0.750 0.500
0.750 0.250 0.500
0.500 0.500 0.000
```

Results
N(E_F) ... 6.68 states/eV per cell

Least stable of them? arrangement x.

Arrangement w

The following is a DFT calculation (PBE) of a relaxed Na2Sc2Zn crystal.

The structure in POSCAR format:
```
Na2Sc2Zn
1.0
6.899 0.000 0.000
0.000 6.899 0.000
0.000 0.000 5.177
Na Sc Zn
4 4 2
direct
0.134 0.366 0.000
0.366 0.866 0.000
0.634 0.134 0.000
0.866 0.634 0.000
0.182 0.682 0.500
0.318 0.182 0.500
0.682 0.818 0.500
0.818 0.318 0.500
0.000 0.000 0.000
0.500 0.500 0.000
```

Results
N(E_F) ... 11.67 states/eV per cell

Arrangement x

The following is a DFT calculation (PBE) of a relaxed Na2Sc2Zn crystal.

The structure in POSCAR format:
```
Na2Sc2Zn
1.0
-2.010 2.010 9.337
2.010 -2.010 9.337
2.010 2.010 -9.337
Na Sc Zn
2 2 1
direct
0.092 0.092 0.000
0.908 0.908 0.000
0.250 0.750 0.500
0.750 0.250 0.500
0.500 0.500 0.000
```

Results
N(E_F) ... 5.82 states/eV per cell

Least stable of them? arrangement x.

Arrangement w

The following is a DFT calculation (PBE) of a relaxed NaSc3Zn crystal.

The structure in POSCAR format:
```
NaSc3Zn
1.0
5.139 0.000 0.000
0.000 5.139 0.000
0.000 0.000 5.139
Na Sc Zn
1 3 1
direct
0.000 0.000 0.000
0.000 0.000 0.500
0.000 0.500 0.000
0.500 0.000 0.000
0.500 0.500 0.500
```

Results
N(E_F) ... 8.44 states/eV per cell

Arrangement x

The following is a DFT calculation (PBE) of a relaxed NaSc3Zn crystal.

The structure in POSCAR format:
```
NaSc3Zn
1.0
5.202 0.000 0.000
0.000 5.202 0.000
0.000 0.000 5.202
Na Sc Zn
1 3 1
direct
0.000 0.000 0.000
0.000 0.500 0.500
0.500 0.000 0.500
0.500 0.500 0.000
0.500 0.500 0.500
```

Results
N(E_F) ... 6.08 states/eV per cell

Least stable of them? arrangement w.